Record 1
4
Lattice="2.8992 0.0000 -0.1324 0.0000 4.0192 0.0000 -1.1766 0.0000 6.5449" Properties=species:S:1:pos:R:3 comment="BaNiRu2 | the Alexandria database | SCAN | PBEsol geometry" space_group="Pm, No. 6" formation_energy_ev_per_atom=0.66 relative_energy_mev_per_atom=397 dos_ef_per_ev_atom=1.092 pbc="T T T"
Ni -0.6841 2.0096 5.3712
Ru 2.0359 2.0096 0.8187
Ru 0.5535 0.0000 0.1055
Ba 0.6788 0.0000 3.3234

---

Record 2
70
Lattice="-7.4810 9.3903 1.6039 -8.8222 -8.2825 -0.5330 2.2163 -1.5951 11.8008" Properties=species:S:1:pos:R:3 comment="Pr9Ga5Se21 | the Alexandria database | SCAN | PBEsol geometry" space_group="R3, No. 146" e_form_raw_mev_per_atom=-1617.2 pbc="T T T"
Ga -4.8848 -0.1690 4.4634
Ga -11.3839 -2.5152 3.0758
Ga -11.9613 -0.4138 10.9294
Ga -7.3760 5.5362 7.7669
Ga -1.9320 -0.0668 1.7653
Ga -9.0300 -0.3124 8.2510
Ga -1.7318 2.1133 9.0992
Ga -8.7168 3.4656 1.5059
Ga -5.8461 -6.1427 4.2838
Ga -4.5743 -3.8282 10.4785
Se -6.4985 -4.9859 2.2545
Se -2.6996 -1.5818 4.5769
Se -10.7012 -0.2346 2.6068
Se -3.4943 1.9435 3.8406
Se -11.1465 -2.4545 9.5509
Se -6.7451 7.7906 7.2202
Se -9.3970 -3.6796 3.7492
Se -2.5981 -4.9403 11.2767
Se -11.9539 1.0684 8.8006
Se -1.0216 -0.1079 8.4331
Se -14.0981 -0.4532 1.2677
Se -9.2299 7.1170 2.5017
Se -5.2649 -4.8360 8.3822
Se -7.9469 4.5653 5.6484
Se -7.6302 -6.2183 5.8528
Se -3.4611 2.0209 10.7275
Se -12.7084 1.0421 5.1715
Se -5.4236 4.3306 8.5555
Se -9.5095 0.2580 11.4452
Se -4.4853 0.4502 7.0385
Se -3.8151 -1.6178 9.9362
Se -1.6279 -3.8839 7.7890
Se -8.8032 -7.6682 2.4089
Se -12.0166 -3.5892 1.0202
Se -5.6641 7.2179 10.7884
Se -3.8233 -5.1552 5.1071
Se -7.0814 1.3459 4.2311
Se -8.5817 -5.1290 9.4541
Se -6.7453 4.6003 2.3472
Se -5.1394 -0.7538 1.9381
Se -8.5359 -2.3365 0.2873
Se -2.2721 3.3639 7.1273
Se -10.4650 3.4516 3.1165
Se -8.2703 1.9360 8.1399
Se -7.1359 3.1035 11.3481
Se -7.3321 -1.7827 9.0258
Se -6.2444 -2.4123 5.0049
Se -0.3802 -0.0858 11.9142
Se -9.9533 -1.0374 6.1854
Se -8.0674 1.3014 0.7067
Se -5.1908 -7.6279 10.7443
Se -4.3441 5.7185 5.1799
Pr -1.4202 0.8340 5.6853
Pr -8.4377 -3.5825 6.8093
Pr -6.8285 7.0088 4.3220
Pr -1.0039 -2.5767 10.3337
Pr -4.1053 -2.4935 7.0322
Pr -12.8210 -1.3386 7.3405
Pr -8.9615 -2.6797 11.5137
Pr -9.8000 1.9489 5.5277
Pr -5.2832 2.2010 1.5093
Pr -7.0423 -7.4817 8.4689
Pr -5.3203 3.0436 5.9122
Pr -12.9472 2.0158 2.3661
Pr -7.9216 -1.1502 2.9064
Pr -9.3810 -5.0276 1.0728
Pr -4.5833 4.6158 11.6181
Pr -10.2003 2.9119 10.3695
Pr -4.0577 -3.4073 2.6382
Pr -5.9169 0.7979 9.7339

---

Record 3
5
Lattice="-3.4866 -0.9980 -3.0660 -1.2255 -3.7668 2.6197 -3.0951 2.8170 2.6028" Properties=species:S:1:pos:R:3 comment="CsNbMo2Br | the Alexandria database | SCAN | PBEsol geometry" space_group="P4/mmm, No. 123" dos_ef_per_ev_atom=0.737 e_form_raw_mev_per_atom=2050.0 pbc="T T T"
Mo -0.6127 -1.8834 1.3098
Mo -1.7433 -0.4990 -1.5330
Nb -1.5475 1.4085 1.3014
Br 0.0000 0.0000 0.0000
Cs -3.9036 -0.9739 1.0782

---

Record 4
4
Lattice="4.3973 0.0000 0.0000 0.0000 4.3973 0.0000 -2.1987 -2.1987 6.1655" Properties=species:S:1:pos:R:3 comment="K2ZrTl | the Alexandria database | SCAN | PBEsol geometry" space_group="I4/mmm, No. 139" formation_energy_ev_per_atom=0.42 relative_energy_mev_per_atom=0 dos_ef_per_ev_atom=0.803 pbc="T T T"
K 2.1987 0.0000 3.0827
K 0.0000 2.1987 3.0827
Zr 2.1987 2.1987 0.0000
Tl 0.0000 0.0000 0.0000

---

Here are the calculated M_tot numbers, same order: 0.0, 0.0, 1.1, 0.6 (μB per formula unit).
Here are the calculated volume numbers, same order: 18.910, 25.087, 22.231, 29.805 (A^3/atom).